Record 1
A relaxed structure of SbRh2Pb. Source: Alexandria, functional PBE-GGA.

**Raw formation energy**: -0.188 eV per formula unit

a b c (Å): 4.473 4.473 5.886
angles (deg): 77.86 77.86 42.87
Atoms (fractional coordinates):
Rh  0.255  0.255  0.722
Rh  0.745  0.745  0.278
Sb  0.000  0.000  0.500
Pb  0.500  0.500  0.000


Record 2
A relaxed structure of Ba6MgTl2. Source: Alexandria, functional PBE-GGA.

**Formation energy from the elements**: -174 meV per atom

a b c (Å): 9.346 10.837 10.499
angles (deg): 90.00 54.66 90.00
Atoms (fractional coordinates):
Ba  0.241  0.193  0.062
Ba  0.242  0.809  0.062
Ba  0.740  0.999  0.305
Ba  0.741  0.307  0.562
Ba  0.759  0.807  0.938
Ba  0.260  0.001  0.695
Ba  0.240  0.501  0.805
Ba  0.742  0.691  0.562
Ba  0.760  0.499  0.195
Ba  0.758  0.191  0.938
Ba  0.259  0.693  0.438
Ba  0.258  0.309  0.438
Mg  0.500  0.500  0.000
Mg  0.000  0.000  0.500
Tl  0.111  0.501  0.231
Tl  0.389  0.001  0.269
Tl  0.611  0.999  0.731
Tl  0.889  0.499  0.769


no.,energy relative to the lowest polymorph listed for this composition (meV/atom),M_tot (μB/cell)
1,280.1,0.0
2,0.0,0.0